# Tb2TmPt3, optimized geometry, DFT PBE
data_Tb2TmPt3
_cell_length_a 4.952
_cell_length_b 14.917
_cell_length_c 3.448
_cell_angle_alpha 90.00
_cell_angle_beta 90.00
_cell_angle_gamma 90.00
_space_group_name_H-M_alt 'P 1'
_space_group_IT_number 1
loop_
_space_group_symop_operation_xyz
'x,y,z'
loop_
_atom_site_label
_atom_site_type_symbol
_atom_site_fract_x
_atom_site_fract_y
_atom_site_fract_z
_atom_site_occupancy
Tb1 Tb 0.250 0.083 0.001 1
Tb2 Tb 0.250 0.417 0.001 1
Tb3 Tb 0.750 0.583 0.999 1
Tb4 Tb 0.750 0.917 0.999 1
Tm1 Tm 0.250 0.750 0.999 1
Tm2 Tm 0.750 0.250 0.001 1
Pt1 Pt 0.250 0.250 0.501 1
Pt2 Pt 0.250 0.589 0.499 1
Pt3 Pt 0.250 0.911 0.499 1
Pt4 Pt 0.750 0.089 0.501 1
Pt5 Pt 0.750 0.411 0.501 1
Pt6 Pt 0.750 0.750 0.499 1
# Energy relative to the lowest polymorph listed for this composition (eV/atom): 0.000
# ΔE_f (eV/atom): -1.23
# Symmetry: Pmmn, No. 59
# Size of the total moment (μB/atom): 0.0000
# ρ (g/cm3): 13.979